Density functional theory data (PBE) for a relaxed LuTiGaHg crystal.

Unit cell a=4.851 b=4.851 c=4.851 alpha=60.00 beta=60.00 gamma=60.00
Atoms (fractional coordinates):
Lu 0.750 0.750 0.750
Hg 0.500 0.500 0.500
Ga 0.000 0.000 0.000
Ti 0.250 0.250 0.250

Properties
- ΔH_f (0 K): -0.246 eV per atom
- Magnetic moment: 0.01 μB per cell